First-principles (PBE with a Hubbard U) data for a geometry-optimized UNiRhO6 structure, as listed in the Alexandria database.

a = 5.2161 Å, b = 5.2161 Å, c = 8.9318 Å
α = 90.00°, β = 90.00°, γ = 120.00°
Last column: nearest neighbours and their distance in Å.
Fractional positions:
U (0.3333, 0.6667, 0.2500)  6 O 2.09
U (0.6667, 0.3333, 0.7500)  6 O 2.09
Ni (0.3333, 0.6667, 0.7500)  6 O 2.08
Ni (0.6667, 0.3333, 0.2500)  6 O 2.08
Rh (0.0000, 0.0000, 0.0000)  6 O 2.03
Rh (0.0000, 0.0000, 0.5000)  6 O 2.03
O (0.0008, 0.3237, 0.6257)  1 Rh 2.03, 1 Ni 2.08, 1 U 2.09
O (0.0008, 0.6770, 0.8743)  1 Rh 2.03, 1 Ni 2.08, 1 U 2.09
O (0.3230, 0.3237, 0.8743)  1 Rh 2.03, 1 Ni 2.08, 1 U 2.09
O (0.3230, 0.9992, 0.6257)  1 Rh 2.03, 1 Ni 2.08, 1 U 2.09
O (0.3237, 0.0008, 0.1257)  1 Rh 2.03, 1 Ni 2.08, 1 U 2.09
O (0.3237, 0.3230, 0.3743)  1 Rh 2.03, 1 Ni 2.08, 1 U 2.09
O (0.6763, 0.6770, 0.6257)  1 Rh 2.03, 1 Ni 2.08, 1 U 2.09
O (0.6763, 0.9992, 0.8743)  1 Rh 2.03, 1 Ni 2.08, 1 U 2.09
O (0.6770, 0.0008, 0.3743)  1 Rh 2.03, 1 Ni 2.08, 1 U 2.09
O (0.6770, 0.6763, 0.1257)  1 Rh 2.03, 1 Ni 2.08, 1 U 2.09
O (0.9992, 0.3230, 0.1257)  1 Rh 2.03, 1 Ni 2.08, 1 U 2.09
O (0.9992, 0.6763, 0.3743)  1 Rh 2.03, 1 Ni 2.08, 1 U 2.09

## Properties
size of the total moment: 2.125 μB per cell
total energy: -133.1 eV for the cell shown
SG: P-31c
volume: 210.5 Å³ per cell